No. 1
# Mo2IrPb

A geometry-optimized Mo2IrPb structure (PBE-GGA, Alexandria).

```
data_Mo2IrPb
_symmetry_space_group_name_H-M 'P 1'
_symmetry_Int_Tables_number 1
_symmetry_space_group_name_Hall 'P 1'
_cell_length_a 2.998
_cell_length_b 3.936
_cell_length_c 5.994
_cell_angle_alpha 90.00
_cell_angle_beta 90.00
_cell_angle_gamma 90.00
loop_
_atom_site_label
_atom_site_type_symbol
_atom_site_fract_x
_atom_site_fract_y
_atom_site_fract_z
Mo1 Mo 0.000 0.000 0.000
Mo2 Mo 0.500 0.500 0.197
Ir1 Ir 0.500 0.500 0.760
Pb1 Pb 0.000 0.000 0.496
```

## Properties
The final energy comes out at -32.35 eV for the cell shown. The density comes out at 13.88 Mg/m³. As for the space-group type: Pmm2 (25). As for the volume: 70.7 Å³ per cell. The formation energy is 1.9 eV per formula unit.

---

No. 2
# Mo2IrPb

A geometry-optimized Mo2IrPb structure (PBE-GGA, Alexandria).

```
data_Mo2IrPb
_symmetry_space_group_name_H-M 'P 1'
_symmetry_Int_Tables_number 1
_symmetry_space_group_name_Hall 'P 1'
_cell_length_a 3.942
_cell_length_b 3.942
_cell_length_c 8.807
_cell_angle_alpha 90.00
_cell_angle_beta 90.00
_cell_angle_gamma 90.00
loop_
_atom_site_label
_atom_site_type_symbol
_atom_site_fract_x
_atom_site_fract_y
_atom_site_fract_z
Mo1 Mo 0.000 0.500 0.250
Mo2 Mo 0.000 0.500 0.750
Mo3 Mo 0.500 0.000 0.250
Mo4 Mo 0.500 0.000 0.750
Ir1 Ir 0.000 0.000 0.000
Ir2 Ir 0.500 0.500 0.500
Pb1 Pb 0.000 0.000 0.500
Pb2 Pb 0.500 0.500 0.000
```

## Properties
The final energy comes out at -65.38 eV for the cell shown. The density comes out at 14.35 Mg/m³. As for the space-group type: I4/mmm (139). As for the volume: 136.8 Å³ per cell. The formation energy is 1.5 eV per formula unit.

---

No. 3
# Mo2IrPb

A geometry-optimized Mo2IrPb structure (PBE-GGA, Alexandria).

```
data_Mo2IrPb
_symmetry_space_group_name_H-M 'P 1'
_symmetry_Int_Tables_number 1
_symmetry_space_group_name_Hall 'P 1'
_cell_length_a 2.904
_cell_length_b 4.439
_cell_length_c 5.499
_cell_angle_alpha 90.00
_cell_angle_beta 95.27
_cell_angle_gamma 90.00
loop_
_atom_site_label
_atom_site_type_symbol
_atom_site_fract_x
_atom_site_fract_y
_atom_site_fract_z
Mo1 Mo 0.000 0.000 0.000
Mo2 Mo 0.166 0.500 0.755
Ir1 Ir 0.564 0.000 0.556
Pb1 Pb 0.567 0.500 0.257
```

## Properties
The final energy comes out at -32.37 eV for the cell shown. The density comes out at 13.91 Mg/m³. As for the space-group type: Pm (6). As for the volume: 70.6 Å³ per cell. The formation energy is 1.9 eV per formula unit.

---

> Which formula does entry 2 have?

Mo2IrPb

---

> Which value of final energy does entry 1 give?

-32.35 eV for the cell shown